A plane-wave DFT calculation with PBE was carried out for a relaxed structure of AuCl3.

Values from the calculation:
The electronic total energy is -1.507 eV per atom. The mass density is 5.78 g/cm³. As for the uncorrected formation energy: 0.6978 eV/atom. The size of the total moment comes out at 2.05 μB per cell.

Structure (extended XYZ):
```
4
Lattice="-4.081 -1.003 1.410 1.276 -4.184 0.716 1.169 1.065 4.141" Properties=species:S:1:pos:R:3 pbc="T T T"
Au 0.000 0.000 0.000
Cl -1.456 0.031 2.775
Cl -1.403 -2.594 1.063
Cl 1.222 -1.560 2.428
```

***

A plane-wave DFT calculation with PBE was carried out for a relaxed structure of HoZn2Co.

Values from the calculation:
The electronic total energy is -3.698 eV per atom. For the energy relative to the elements, the calculation gives -140 meV per atom. The mass density is 8.27 g/cm³. The size of the total moment comes out at 0.00 μB per cell.

Structure (extended XYZ):
```
4
Lattice="4.112 0.000 0.000 2.056 3.561 0.000 2.056 1.187 4.864" Properties=species:S:1:pos:R:3 pbc="T T T"
Ho 0.000 0.000 0.000
Co 4.112 2.374 2.432
Zn 6.167 3.561 3.046
Zn 2.056 1.187 1.817
```